Entry P
TbSmSc4 after structural relaxation. Source: Alexandria via LeMat-Bulk, functional PBE.

abc: 9.8322 9.8322 5.3430
angles: 90.00 90.00 141.06
With the nearest neighbours (Å) after each atom.
Sites, in units of the cell vectors:
Tb (0.1258, 0.8742, 0.7500)  2 Sm 3.28, 12 Sc 3.48-3.51
Tb (0.8742, 0.1258, 0.2500)  2 Sm 3.28, 12 Sc 3.48-3.51
Sm (0.3759, 0.6241, 0.2500)  2 Tb 3.28, 12 Sc 3.49-3.51
Sm (0.6241, 0.3759, 0.7500)  2 Tb 3.28, 12 Sc 3.49-3.51
Sc (0.0410, 0.4578, 0.7500)  5 Sc 3.09-3.29
Sc (0.2062, 0.2896, 0.7500)  5 Sc 3.09-3.30
Sc (0.2896, 0.2062, 0.2500)  5 Sc 3.09-3.30
Sc (0.4578, 0.0410, 0.2500)  5 Sc 3.09-3.29
Sc (0.5422, 0.9590, 0.7500)  5 Sc 3.09-3.29
Sc (0.7104, 0.7938, 0.7500)  5 Sc 3.09-3.30
Sc (0.7938, 0.7104, 0.2500)  5 Sc 3.09-3.30
Sc (0.9590, 0.5422, 0.2500)  5 Sc 3.09-3.29

Total magnetic moment in μB/f.u.: 0.00

Entry Q
TbSmSc4 after structural relaxation. Source: Alexandria via LeMat-Bulk, functional PBE.

abc: 8.9447 8.9447 10.9024
angles: 90.00 90.00 158.10
With the nearest neighbours (Å) after each atom.
Sites, in units of the cell vectors:
Tb (0.1624, 0.8376, 0.5000)  3 Sm 3.34-3.44, 7 Sc 3.35-3.52, 2 Tb 3.40
Tb (0.8376, 0.1624, 0.0000)  3 Sm 3.34-3.44, 7 Sc 3.35-3.52, 2 Tb 3.40
Sm (0.2801, 0.7199, 0.2588)  3 Tb 3.34-3.44, 7 Sc 3.39-3.51, 2 Sm 3.40
Sm (0.7199, 0.2801, 0.7588)  3 Tb 3.34-3.44, 7 Sc 3.39-3.51, 2 Sm 3.40
Sc (0.0513, 0.9487, 0.7581)  9 Sc 3.23-3.40, 2 Sm 3.41, 1 Tb 3.42
Sc (0.1621, 0.8379, 0.0132)  7 Sc 3.26-3.40, 3 Sm 3.39-3.41, 2 Tb 3.52
Sc (0.3948, 0.6052, 0.7523)  8 Sc 3.22-3.40, 2 Tb 3.35, 2 Sm 3.51
Sc (0.4965, 0.5035, 0.5067)  10 Sc 3.22-3.40, 2 Tb 3.38
Sc (0.5035, 0.4965, 0.0067)  10 Sc 3.22-3.40, 2 Tb 3.38
Sc (0.6052, 0.3948, 0.2523)  8 Sc 3.22-3.40, 2 Tb 3.35, 2 Sm 3.51
Sc (0.8379, 0.1621, 0.5132)  7 Sc 3.26-3.40, 3 Sm 3.39-3.41, 2 Tb 3.52
Sc (0.9487, 0.0513, 0.2581)  9 Sc 3.23-3.40, 2 Sm 3.41, 1 Tb 3.42

Total magnetic moment in μB/f.u.: 0.00

Which is most stable? The ranking, best first, is entry Q, entry P.